# MgTeSeI2 GGA-PBE optimized geometry
# - Calculated volume: 35.23 Å³ per atom
# - Total magnetic moment: 0.9 μB per formula unit
# - Space-group type: P4/mmm (123)
# - E_form (uncorrected): 0.875 eV/f.u.
# - Crystal system: tetragonal
data_MgTeSeI2
_chemical_formula_sum 'Mg1 Te1 Se1 I2'
_cell_length_a 5.4565
_cell_length_b 5.4565
_cell_length_c 5.9167
_cell_angle_alpha 90.00
_cell_angle_beta 90.00
_cell_angle_gamma 90.00
_space_group_name_H-M_alt 'P 1'
_space_group_IT_number 1
loop_
_space_group_symop_operation_xyz
'x,y,z'
loop_
_atom_site_label
_atom_site_type_symbol
_atom_site_fract_x
_atom_site_fract_y
_atom_site_fract_z
_atom_site_occupancy
I1 I 0.0000 0.5000 0.0000 1
I2 I 0.5000 0.0000 0.0000 1
Mg1 Mg 0.0000 0.0000 0.0000 1
Te1 Te 0.0000 0.0000 0.5000 1
Se1 Se 0.5000 0.5000 0.5000 1